Computed, not measured: a geometry-optimized Tc3Mo structure at the PBE level of DFT.

Summary:
Its formation energy is 0.12 eV/atom. The calculation puts the volume at 59.9 Å³ per cell. Its crystal system is tetragonal. As for the uncorrected energy: -10.36 eV per atom. For the distance to the lowest polymorph of the same formula, the calculation gives 0.053 eV/atom.

Unit cell a=2.7528 b=2.7528 c=7.9016 alpha=90.00 beta=90.00 gamma=90.00
Closest atoms and distances in Å follow each position.
Space group P4/mmm (No. 123)
Inequivalent atoms, fractional coordinates:
Tc1 0.0000 0.0000 0.0000 x1  12 Tc 2.73-2.75
Tc2 0.5000 0.5000 0.2417 x2  8 Tc 2.73-2.75, 4 Mo 2.82
Mo1 0.0000 0.0000 0.5000 x1  4 Mo 2.75, 8 Tc 2.82